# 1
A plane-wave DFT calculation with PBE was carried out for Th3TaRh12 after structural relaxation.

a = 4.0680 Å, b = 4.0680 Å, c = 16.3605 Å
α = 90.00°, β = 90.00°, γ = 90.00°
Space group P4/mmm (No. 123)
Symmetry-distinct sites (fractional):
Th  0.0000  0.0000  0.0000
Th  0.0000  0.0000  0.2558
Ta  0.0000  0.0000  0.5000
Rh  0.0000  0.5000  0.1286
Rh  0.0000  0.5000  0.3888
Rh  0.5000  0.5000  0.0000
Rh  0.5000  0.5000  0.2589
Rh  0.5000  0.5000  0.5000

Summary:
DOS at the Fermi energy: 14.88 states/eV per cell
Energy of formation: -0.679 eV per atom
Spin magnetization: 0.00 μB per formula unit

# 2
A plane-wave DFT calculation with PBE was carried out for Th2TaRh after structural relaxation.

a = 3.2721 Å, b = 3.2721 Å, c = 31.3119 Å
α = 90.00°, β = 90.00°, γ = 120.00°
Space group R-3m (No. 166, hexagonal axes)
Symmetry-distinct sites (fractional):
Th  0.0000  0.0000  0.0935
Ta  0.0000  0.0000  0.0000
Rh  0.0000  0.0000  0.5000

Summary:
DOS at the Fermi energy: 13.67 states/eV per cell
Energy of formation: 0.387 eV per atom
Spin magnetization: 0.00 μB per formula unit